A geometry-optimized TmThNpO6 structure, computed with PBE-GGA.

Properties
The calculation puts the density of states at the Fermi level at 0.9086 states/eV per atom. As for the crystal system: trigonal. Its total energy is -9.41 eV/atom.

Lattice parameters (Å, degrees): 5.7380 5.7380 9.7859 90.00 90.00 120.00
With the nearest neighbours (Å) after each atom.
Fractional positions:
O (0.3482, 0.3362, 0.3653)  1 Np 2.15, 1 Tm 2.24, 1 Th 2.37
Np (0.3333, 0.6667, 0.7500)  6 O 2.15
O (0.0120, 0.3482, 0.6347)  1 Np 2.15, 1 Tm 2.24, 1 Th 2.37
O (0.3482, 0.0120, 0.1347)  1 Np 2.15, 1 Tm 2.24, 1 Th 2.37
Np (0.6667, 0.3333, 0.2500)  6 O 2.15
O (0.3362, 0.9880, 0.6347)  1 Np 2.15, 1 Tm 2.24, 1 Th 2.37
Tm (0.6667, 0.3333, 0.7500)  6 O 2.24
O (0.9880, 0.6518, 0.3653)  1 Np 2.15, 1 Tm 2.24, 1 Th 2.37
O (0.6518, 0.6638, 0.6347)  1 Np 2.15, 1 Tm 2.24, 1 Th 2.37
Th (0.0000, 0.0000, 0.0000)  6 O 2.37
O (0.3362, 0.3482, 0.8653)  1 Np 2.15, 1 Tm 2.24, 1 Th 2.37
O (0.6638, 0.0120, 0.3653)  1 Np 2.15, 1 Tm 2.24, 1 Th 2.37
O (0.0120, 0.6638, 0.8653)  1 Np 2.15, 1 Tm 2.24, 1 Th 2.37
O (0.6638, 0.6518, 0.1347)  1 Np 2.15, 1 Tm 2.24, 1 Th 2.37
O (0.6518, 0.9880, 0.8653)  1 Np 2.15, 1 Tm 2.24, 1 Th 2.37
Tm (0.3333, 0.6667, 0.2500)  6 O 2.24
Th (0.0000, 0.0000, 0.5000)  6 O 2.37
O (0.9880, 0.3362, 0.1347)  1 Np 2.15, 1 Tm 2.24, 1 Th 2.37


A geometry-optimized TmPaTc structure, computed with PBE-GGA.

Properties
The calculation puts the density of states at the Fermi level at 1.0341 states/eV per atom. For the energy relative to the elements, the calculation gives -0.51 eV per formula unit. As for the crystal system: tetragonal. Its total energy is -8.28 eV/atom. The energy above the most stable polymorph in this dataset is 0.0 meV/atom.

Lattice parameters (Å, degrees): 3.4500 3.4500 6.1326 106.34 106.34 90.00
With the nearest neighbours (Å) after each atom.
Fractional positions:
Pa (0.3057, 0.3057, 0.6113)  4 Tc 2.78
Tm (0.0080, 0.0080, 0.0160)  4 Tc 3.16, 5 Pa 3.34-3.35, 4 Tm 3.45
Tc (0.6863, 0.6863, 0.3726)  4 Pa 2.78


A geometry-optimized PrNd2SmMg structure, computed with PBE-GGA.

Properties
The calculation puts the density of states at the Fermi level at 1.4162 states/eV per atom. For the energy relative to the elements, the calculation gives 0.72 eV per formula unit. As for the crystal system: orthorhombic. Its total energy is -3.98 eV/atom.

Lattice parameters (Å, degrees): 7.4407 7.3754 6.0973 90.00 90.00 90.00
With the nearest neighbours (Å) after each atom.
Fractional positions:
Pr (0.8410, 0.5000, 0.2500)  6 Nd 3.64-3.87, 2 Pr 3.86, 2 Sm 4.01
Nd (0.3142, 0.7191, 0.2500)  1 Sm 3.14, 1 Nd 3.23, 2 Mg 3.48
Mg (0.0000, 0.0000, 0.0000)  2 Mg 3.05, 2 Sm 3.14
Nd (0.6858, 0.7191, 0.7500)  1 Sm 3.14, 1 Nd 3.23, 2 Mg 3.48
Sm (0.3691, 0.0000, 0.7500)  2 Nd 3.14, 2 Mg 3.14
Mg (0.0000, 0.0000, 0.5000)  2 Mg 3.05, 2 Sm 3.14
Pr (0.1590, 0.5000, 0.7500)  6 Nd 3.64-3.87, 2 Pr 3.86, 2 Sm 4.01
Nd (0.3142, 0.2809, 0.2500)  1 Sm 3.14, 1 Nd 3.23, 2 Mg 3.48
Sm (0.6309, 0.0000, 0.2500)  2 Nd 3.14, 2 Mg 3.14
Nd (0.6858, 0.2809, 0.7500)  1 Sm 3.14, 1 Nd 3.23, 2 Mg 3.48